VASP calculation (PBE) on a relaxed NaEr2AgTe4 crystal.

Lattice parameters (Å, degrees): 7.5487 7.5487 15.6028 90.00 90.00 146.53
With the nearest neighbours (Å) after each atom.
Element x y z (fractional)
Na 0.1349 0.8651 0.7500  6 Te 3.28-3.36
Na 0.8651 0.1349 0.2500  6 Te 3.28-3.36
Er 0.3688 0.6312 0.5732  6 Te 3.06-3.15
Er 0.3688 0.6312 0.9268  6 Te 3.06-3.15
Er 0.6312 0.3688 0.0732  6 Te 3.06-3.15
Er 0.6312 0.3688 0.4268  6 Te 3.06-3.15
Ag 0.1545 0.8455 0.2500  4 Te 2.78-2.81
Ag 0.8455 0.1545 0.7500  4 Te 2.78-2.81
Te 0.0000 0.0000 0.0000  4 Er 3.10
Te 0.0000 0.0000 0.5000  4 Er 3.10
Te 0.2751 0.7249 0.1089  1 Ag 2.81, 2 Er 3.06
Te 0.2751 0.7249 0.3911  1 Ag 2.81, 2 Er 3.06
Te 0.4654 0.5346 0.7500  2 Ag 2.78, 2 Er 3.09
Te 0.5346 0.4654 0.2500  2 Ag 2.78, 2 Er 3.09
Te 0.7249 0.2751 0.6089  1 Ag 2.81, 2 Er 3.06
Te 0.7249 0.2751 0.8911  1 Ag 2.81, 2 Er 3.06

Output
As for the raw formation energy: -1068 meV/atom. For the mass density, the calculation gives 6.6 Mg/m³. The size of the total moment is 0.00 μB per cell.

VASP calculation (PBE) on a relaxed NaErAgTe2 crystal.

Lattice parameters (Å, degrees): 7.7126 4.9438 8.1908 90.00 97.87 90.00
With the nearest neighbours (Å) after each atom.
Element x y z (fractional)
Na 0.0000 0.1198 0.2500  6 Te 3.29-3.45
Na 0.0000 0.8802 0.7500  6 Te 3.29-3.45
Er 0.5000 0.4971 0.7500  4 Te 3.02-3.04, 4 Ag 3.20-3.22
Er 0.5000 0.5029 0.2500  4 Te 3.02-3.04, 4 Ag 3.20-3.22
Ag 0.5000 0.0000 0.0000  2 Te 2.77
Ag 0.5000 0.0000 0.5000  2 Te 2.77
Te 0.2222 0.3592 0.9662  1 Ag 2.77, 2 Er 3.02-3.04
Te 0.2222 0.6408 0.4662  1 Ag 2.77, 2 Er 3.02-3.04
Te 0.7778 0.3592 0.5338  1 Ag 2.77, 2 Er 3.02-3.04
Te 0.7778 0.6408 0.0338  1 Ag 2.77, 2 Er 3.02-3.04

Output
As for the raw formation energy: -706 meV/atom. For the mass density, the calculation gives 5.9 Mg/m³. The size of the total moment is 0.00 μB per cell.

VASP calculation (PBE) on a relaxed Er2NbAg crystal.

Lattice parameters (Å, degrees): 3.3252 3.3252 8.4100 90.00 90.00 90.00
With the nearest neighbours (Å) after each atom.
Element x y z (fractional)
Er 0.0000 0.0000 0.2461  4 Ag 3.13, 4 Nb 3.18, 4 Er 3.33
Er 0.0000 0.0000 0.7539  4 Ag 3.13, 4 Nb 3.18, 4 Er 3.33
Nb 0.5000 0.5000 0.5000  8 Er 3.18, 4 Nb 3.33
Ag 0.5000 0.5000 0.0000  8 Er 3.13, 4 Ag 3.33

Output
The formation energy is 0.01 eV per formula unit. For the mass density, the calculation gives 9.6 Mg/m³. The size of the total moment is 0.00 μB per cell.

VASP calculation (PBE) on a relaxed Nd2ErAg2 crystal.

Lattice parameters (Å, degrees): 13.9150 13.9150 5.3115 90.00 90.00 164.72
With the nearest neighbours (Å) after each atom.
Element x y z (fractional)
Nd 0.0467 0.9533 0.7500  8 Ag 3.18-3.32
Nd 0.2338 0.7662 0.7500  2 Ag 3.17, 4 Nd 3.36
Nd 0.7662 0.2338 0.2500  2 Ag 3.17, 4 Nd 3.36
Nd 0.9533 0.0467 0.2500  8 Ag 3.18-3.32
Er 0.1450 0.8550 0.2500  6 Ag 3.13-3.24
Er 0.8550 0.1450 0.7500  6 Ag 3.13-3.24
Ag 0.3594 0.6406 0.2500  4 Nd 3.17-3.18, 4 Er 3.24
Ag 0.4467 0.5533 0.7500  2 Er 3.13, 6 Nd 3.24-3.32
Ag 0.5533 0.4467 0.2500  2 Er 3.13, 6 Nd 3.24-3.32
Ag 0.6406 0.3594 0.7500  4 Nd 3.17-3.18, 4 Er 3.24

Output
The formation energy is -0.95 eV per formula unit. For the mass density, the calculation gives 8.2 Mg/m³. The size of the total moment is 0.00 μB per cell.

VASP calculation (PBE) on a relaxed NdEr5Ag4 crystal.

Lattice parameters (Å, degrees): 3.5804 3.5804 19.7126 90.00 90.00 90.00
With the nearest neighbours (Å) after each atom.
Element x y z (fractional)
Nd 0.0000 0.0000 0.0000  4 Nd 3.58, 8 Er 3.60
Er 0.5000 0.5000 0.1298  4 Ag 3.11
Er 0.5000 0.5000 0.3139  8 Ag 3.12-3.13
Er 0.5000 0.5000 0.5000  8 Ag 3.12
Er 0.5000 0.5000 0.6861  8 Ag 3.12-3.13
Er 0.5000 0.5000 0.8702  4 Ag 3.11
Ag 0.0000 0.0000 0.2212  8 Er 3.11-3.12
Ag 0.0000 0.0000 0.4074  8 Er 3.12-3.13
Ag 0.0000 0.0000 0.5926  8 Er 3.12-3.13
Ag 0.0000 0.0000 0.7788  8 Er 3.11-3.12

Output
The formation energy is -2.58 eV per formula unit. For the mass density, the calculation gives 9.3 Mg/m³. The size of the total moment is 0.00 μB per cell.

VASP calculation (PBE) on a relaxed NdEr4Ag crystal.

Lattice parameters (Å, degrees): 10.8594 10.8594 6.4625 90.00 90.00 151.35
With the nearest neighbours (Å) after each atom.
Element x y z (fractional)
Nd 0.1363 0.8637 0.5000  2 Ag 3.26, 9 Er 3.48-3.63
Nd 0.8637 0.1363 0.0000  2 Ag 3.26, 9 Er 3.48-3.63
Er 0.0671 0.9329 0.0108  2 Ag 3.22, 1 Nd 3.48, 4 Er 3.54-3.58
Er 0.2602 0.7398 0.1337  1 Ag 3.04, 2 Er 3.24
Er 0.3256 0.6744 0.6431  1 Ag 2.92, 3 Er 3.24
Er 0.4655 0.5345 0.8523  2 Ag 2.90-2.98, 1 Er 3.24
Er 0.5345 0.4655 0.3523  2 Ag 2.90-2.98, 1 Er 3.24
Er 0.6744 0.3256 0.1431  1 Ag 2.92, 3 Er 3.24
Er 0.7398 0.2602 0.6337  1 Ag 3.04, 2 Er 3.24
Er 0.9329 0.0671 0.5108  2 Ag 3.22, 1 Nd 3.48, 4 Er 3.54-3.58
Ag 0.3994 0.6006 0.2601  6 Er 2.90-3.22
Ag 0.6006 0.3994 0.7601  6 Er 2.90-3.22

Output
The formation energy is 0.35 eV per formula unit. For the mass density, the calculation gives 8.4 Mg/m³. The size of the total moment is 0.00 μB per cell.

VASP calculation (PBE) on a relaxed Nd4ErAg5 crystal.

Lattice parameters (Å, degrees): 3.6887 3.6887 19.0142 90.00 90.00 90.00
With the nearest neighbours (Å) after each atom.
Element x y z (fractional)
Nd 0.0000 0.0000 0.1014  8 Ag 3.24
Nd 0.0000 0.0000 0.3051  8 Ag 3.25-3.29
Nd 0.0000 0.0000 0.6949  8 Ag 3.25-3.29
Nd 0.0000 0.0000 0.8986  8 Ag 3.24
Er 0.0000 0.0000 0.5000  8 Ag 3.11
Ag 0.5000 0.5000 0.0000  8 Nd 3.24
Ag 0.5000 0.5000 0.2029  8 Nd 3.24-3.25
Ag 0.5000 0.5000 0.4105  4 Er 3.11, 4 Nd 3.29, 1 Ag 3.41
Ag 0.5000 0.5000 0.5895  4 Er 3.11, 4 Nd 3.29, 1 Ag 3.41
Ag 0.5000 0.5000 0.7971  8 Nd 3.24-3.25

Output
The formation energy is -2.72 eV per formula unit. For the mass density, the calculation gives 8.2 Mg/m³. The size of the total moment is 0.00 μB per cell.

VASP calculation (PBE) on a relaxed NdEr3Ag crystal.

Lattice parameters (Å, degrees): 7.0900 7.0900 7.7273 115.09 115.09 71.73
With the nearest neighbours (Å) after each atom.
Element x y z (fractional)
Nd 0.0848 0.0848 0.2697  2 Ag 3.09-3.32, 2 Er 3.37
Nd 0.9152 0.9152 0.7303  2 Ag 3.09-3.32, 2 Er 3.37
Er 0.0304 0.6185 0.3024  2 Ag 2.93-2.99
Er 0.3815 0.9696 0.6976  2 Ag 2.93-2.99
Er 0.4426 0.4426 0.6868  1 Ag 3.01
Er 0.5574 0.5574 0.3132  1 Ag 3.01
Er 0.6185 0.0304 0.3024  2 Ag 2.93-2.99
Er 0.9696 0.3815 0.6976  2 Ag 2.93-2.99
Ag 0.2504 0.2504 0.0582  5 Er 2.93-3.01, 1 Nd 3.09
Ag 0.7496 0.7496 0.9418  5 Er 2.93-3.01, 1 Nd 3.09

Output
The formation energy is 0.27 eV per formula unit. For the mass density, the calculation gives 8.0 Mg/m³. The size of the total moment is 0.00 μB per cell.

VASP calculation (PBE) on a relaxed Nd3Er2Ag2 crystal.

Lattice parameters (Å, degrees): 11.9050 11.9050 3.4770 90.00 90.00 156.28
With the nearest neighbours (Å) after each atom.
Element x y z (fractional)
Nd 0.0000 0.0000 0.0000  4 Nd 3.27-3.48, 8 Ag 3.43
Nd 0.1402 0.8598 0.0000  3 Nd 3.27-3.48, 4 Er 3.39, 4 Ag 3.41
Nd 0.8598 0.1402 0.0000  3 Nd 3.27-3.48, 4 Er 3.39, 4 Ag 3.41
Er 0.2918 0.7082 0.5000  4 Er 3.13-3.48, 1 Ag 3.19, 4 Nd 3.39
Er 0.7082 0.2918 0.5000  4 Er 3.13-3.48, 1 Ag 3.19, 4 Nd 3.39
Ag 0.4288 0.5712 0.5000  1 Er 3.19, 3 Ag 3.32-3.48, 8 Nd 3.41-3.43
Ag 0.5712 0.4288 0.5000  1 Er 3.19, 3 Ag 3.32-3.48, 8 Nd 3.41-3.43

Output
The formation energy is 0.28 eV per formula unit. For the mass density, the calculation gives 8.2 Mg/m³. The size of the total moment is 0.00 μB per cell.

VASP calculation (PBE) on a relaxed Nd2ErAg3 crystal.

Lattice parameters (Å, degrees): 3.6747 3.6747 11.2803 90.00 90.00 90.00
With the nearest neighbours (Å) after each atom.
Element x y z (fractional)
Nd 0.0000 0.0000 0.1718  8 Ag 3.24-3.28
Nd 0.0000 0.0000 0.8282  8 Ag 3.24-3.28
Er 0.0000 0.0000 0.5000  8 Ag 3.11
Ag 0.5000 0.5000 0.0000  8 Nd 3.24
Ag 0.5000 0.5000 0.3491  4 Er 3.11, 4 Nd 3.28, 1 Ag 3.40
Ag 0.5000 0.5000 0.6509  4 Er 3.11, 4 Nd 3.28, 1 Ag 3.40

Output
The formation energy is -1.71 eV per formula unit. For the mass density, the calculation gives 8.5 Mg/m³. The size of the total moment is 0.00 μB per cell.

VASP calculation (PBE) on a relaxed Nd2Er2Ag3 crystal.

Lattice parameters (Å, degrees): 5.0992 5.1132 8.9773 90.04 106.41 119.90
With the nearest neighbours (Å) after each atom.
Element x y z (fractional)
Nd 0.2485 0.3735 0.1209  5 Ag 3.18-3.27
Nd 0.7515 0.6265 0.8791  5 Ag 3.18-3.27
Er 0.2498 0.8752 0.6252  7 Ag 3.06-3.14
Er 0.7502 0.1248 0.3748  7 Ag 3.06-3.14
Ag 0.0090 0.7543 0.2641  4 Er 3.06-3.10, 4 Nd 3.18-3.27
Ag 0.5000 0.5000 0.5000  6 Er 3.13-3.14, 2 Nd 3.22
Ag 0.9910 0.2457 0.7359  4 Er 3.06-3.10, 4 Nd 3.18-3.27

Output
The formation energy is -1.02 eV per formula unit. For the mass density, the calculation gives 8.2 Mg/m³. The size of the total moment is 0.14 μB per cell.

VASP calculation (PBE) on a relaxed NdErAg4 crystal.

Lattice parameters (Å, degrees): 5.4075 5.4075 5.3375 90.00 90.00 120.78
With the nearest neighbours (Å) after each atom.
Element x y z (fractional)
Nd 0.0000 0.0000 0.0000  10 Ag 3.10-3.14
Er 0.5000 0.5000 0.5000  10 Ag 3.05-3.14
Ag 0.1756 0.8244 0.5000  5 Ag 3.02-3.30, 3 Er 3.05-3.14, 2 Nd 3.14
Ag 0.3319 0.6681 0.0000  5 Ag 3.05-3.16, 2 Er 3.10, 3 Nd 3.10-3.12
Ag 0.6681 0.3319 0.0000  5 Ag 3.05-3.16, 2 Er 3.10, 3 Nd 3.10-3.12
Ag 0.8244 0.1756 0.5000  5 Ag 3.02-3.30, 3 Er 3.05-3.14, 2 Nd 3.14

Output
The formation energy is -1.67 eV per formula unit. For the mass density, the calculation gives 9.2 Mg/m³. The size of the total moment is 0.00 μB per cell.

VASP calculation (PBE) on a relaxed NdErAg4 crystal.

Lattice parameters (Å, degrees): 5.7393 5.7393 5.7393 60.00 60.00 60.00
With the nearest neighbours (Å) after each atom.
Element x y z (fractional)
Nd 0.0000 0.0000 0.0000  12 Ag 3.37, 4 Er 3.51
Er 0.2500 0.2500 0.2500  12 Ag 3.36, 4 Nd 3.51
Ag 0.1262 0.6246 0.6246  6 Ag 2.86-2.88
Ag 0.6246 0.1262 0.6246  6 Ag 2.86-2.88
Ag 0.6246 0.6246 0.1262  6 Ag 2.86-2.88
Ag 0.6246 0.6246 0.6246  6 Ag 2.86-2.88

Output
The formation energy is -0.97 eV per formula unit. For the mass density, the calculation gives 9.2 Mg/m³. The size of the total moment is 0.00 μB per cell.

VASP calculation (PBE) on a relaxed Nd2Er2Ag crystal.

Lattice parameters (Å, degrees): 11.7033 11.7033 11.7033 162.28 162.28 25.16
With the nearest neighbours (Å) after each atom.
Element x y z (fractional)
Nd 0.1918 0.1918 0.0000  8 Nd 3.61-3.68, 4 Er 3.62
Nd 0.8082 0.8082 0.0000  8 Nd 3.61-3.68, 4 Er 3.62
Er 0.4206 0.4206 0.0000  4 Ag 3.13
Er 0.5794 0.5794 0.0000  4 Ag 3.13
Ag 0.0000 0.0000 0.0000  8 Er 3.13

Output
The formation energy is -0.52 eV per formula unit. For the mass density, the calculation gives 8.2 Mg/m³. The size of the total moment is 0.00 μB per cell.

VASP calculation (PBE) on a relaxed Nd3ErAg4 crystal.

Lattice parameters (Å, degrees): 3.6938 3.6938 15.0568 90.00 90.00 90.00
With the nearest neighbours (Å) after each atom.
Element x y z (fractional)
Nd 0.0000 0.0000 0.0000  8 Ag 3.23
Nd 0.0000 0.0000 0.2551  8 Ag 3.25-3.29
Nd 0.0000 0.0000 0.7449  8 Ag 3.25-3.29
Er 0.0000 0.0000 0.5000  8 Ag 3.11
Ag 0.5000 0.5000 0.1268  8 Nd 3.23-3.25
Ag 0.5000 0.5000 0.3879  4 Er 3.11, 4 Nd 3.29, 1 Ag 3.38
Ag 0.5000 0.5000 0.6121  4 Er 3.11, 4 Nd 3.29, 1 Ag 3.38
Ag 0.5000 0.5000 0.8732  8 Nd 3.23-3.25

Output
The formation energy is -2.21 eV per formula unit. For the mass density, the calculation gives 8.3 Mg/m³. The size of the total moment is 0.00 μB per cell.

VASP calculation (PBE) on a relaxed NdErAg4 crystal.

Lattice parameters (Å, degrees): 3.9492 3.9492 9.6857 90.00 90.00 90.00
With the nearest neighbours (Å) after each atom.
Element x y z (fractional)
Nd 0.0000 0.0000 0.0000  8 Ag 3.20
Er 0.5000 0.5000 0.5000  8 Ag 3.05
Ag 0.0000 0.5000 0.2606  4 Ag 2.79, 2 Er 3.05
Ag 0.0000 0.5000 0.7394  4 Ag 2.79, 2 Er 3.05
Ag 0.5000 0.0000 0.2606  4 Ag 2.79, 2 Er 3.05
Ag 0.5000 0.0000 0.7394  4 Ag 2.79, 2 Er 3.05

Output
The formation energy is 0.08 eV per formula unit. For the mass density, the calculation gives 8.2 Mg/m³. The size of the total moment is 0.42 μB per cell.

VASP calculation (PBE) on a relaxed Nd2ErAg2 crystal.

Lattice parameters (Å, degrees): 7.6355 7.6355 10.2126 90.00 90.00 151.45
With the nearest neighbours (Å) after each atom.
Element x y z (fractional)
Nd 0.1186 0.8814 0.5000  3 Ag 2.97-3.31
Nd 0.2986 0.7014 0.7300  5 Ag 3.06-3.08
Nd 0.7014 0.2986 0.2300  5 Ag 3.06-3.08
Nd 0.8814 0.1186 0.0000  3 Ag 2.97-3.31
Er 0.4299 0.5701 0.3436  4 Ag 3.04-3.06
Er 0.5701 0.4299 0.8436  4 Ag 3.04-3.06
Ag 0.0415 0.9585 0.1754  3 Nd 2.97-3.07, 1 Ag 2.98, 2 Er 3.04
Ag 0.1972 0.8028 0.9909  1 Ag 2.98, 2 Er 3.06, 5 Nd 3.06-3.31
Ag 0.8028 0.1972 0.4909  1 Ag 2.98, 2 Er 3.06, 5 Nd 3.06-3.31
Ag 0.9585 0.0415 0.6754  3 Nd 2.97-3.07, 1 Ag 2.98, 2 Er 3.04

Output
The formation energy is -0.44 eV per formula unit. For the mass density, the calculation gives 7.8 Mg/m³. The size of the total moment is 0.00 μB per cell.

VASP calculation (PBE) on a relaxed Nd5ErAg6 crystal.

Lattice parameters (Å, degrees): 8.3941 8.3941 7.3970 90.00 90.00 143.21
With the nearest neighbours (Å) after each atom.
Element x y z (fractional)
Nd 0.0000 0.0000 0.0000  8 Ag 3.20-3.27
Nd 0.3315 0.6685 0.0000  8 Ag 3.26-3.30
Nd 0.3344 0.6656 0.5000  8 Ag 3.18-3.28
Nd 0.6656 0.3344 0.5000  8 Ag 3.18-3.28
Nd 0.6685 0.3315 0.0000  8 Ag 3.26-3.30
Er 0.0000 0.0000 0.5000  8 Ag 3.15-3.19
Ag 0.1620 0.8380 0.2566  1 Er 3.15, 7 Nd 3.20-3.30
Ag 0.1620 0.8380 0.7434  1 Er 3.15, 7 Nd 3.20-3.30
Ag 0.5000 0.5000 0.2601  6 Nd 3.18-3.30, 2 Er 3.19, 1 Ag 3.55
Ag 0.5000 0.5000 0.7399  6 Nd 3.18-3.30, 2 Er 3.19, 1 Ag 3.55
Ag 0.8380 0.1620 0.2566  1 Er 3.15, 7 Nd 3.20-3.30
Ag 0.8380 0.1620 0.7434  1 Er 3.15, 7 Nd 3.20-3.30

Output
The formation energy is -3.20 eV per formula unit. For the mass density, the calculation gives 8.2 Mg/m³. The size of the total moment is 0.00 μB per cell.

VASP calculation (PBE) on a relaxed NdEr4Ag2 crystal.

Lattice parameters (Å, degrees): 10.6995 10.6995 10.6995 26.55 26.55 26.55
With the nearest neighbours (Å) after each atom.
Element x y z (fractional)
Nd 0.0000 0.0000 0.0000  2 Ag 3.17, 6 Er 3.48
Er 0.2011 0.2011 0.2011  4 Ag 2.98-3.05
Er 0.3986 0.3986 0.3986  3 Ag 3.06
Er 0.6014 0.6014 0.6014  3 Ag 3.06
Er 0.7989 0.7989 0.7989  4 Ag 2.98-3.05
Ag 0.1025 0.1025 0.1025  7 Er 2.98-3.06, 1 Nd 3.17
Ag 0.8975 0.8975 0.8975  7 Er 2.98-3.06, 1 Nd 3.17

Output
The formation energy is 1.13 eV per formula unit. For the mass density, the calculation gives 7.9 Mg/m³. The size of the total moment is 0.57 μB per cell.

VASP calculation (PBE) on a relaxed NdEr4Ag crystal.

Lattice parameters (Å, degrees): 3.5536 3.5536 13.8291 90.00 90.00 90.00
With the nearest neighbours (Å) after each atom.
Element x y z (fractional)
Nd 0.0000 0.0000 0.0000  4 Nd 3.55, 8 Er 3.58
Er 0.0000 0.0000 0.3648  4 Ag 3.13
Er 0.0000 0.0000 0.6352  4 Ag 3.13
Er 0.5000 0.5000 0.1844  8 Er 3.54-3.55, 4 Nd 3.58
Er 0.5000 0.5000 0.8156  8 Er 3.54-3.55, 4 Nd 3.58
Ag 0.5000 0.5000 0.5000  8 Er 3.13

Output
The formation energy is -0.46 eV per formula unit. For the mass density, the calculation gives 8.8 Mg/m³. The size of the total moment is 0.00 μB per cell.